# ZrInPb2

ZrInPb2 after structural relaxation (GGA-PBEsol, Alexandria).

Structure (extended XYZ):
```
4
Lattice="1.643 0.948 11.123 -1.643 0.948 11.123 0.000 -1.897 11.123" Properties=species:S:1:pos:R:3 pbc="T T T"
Zr 0.000 0.000 0.000
In 0.000 0.000 16.685
Pb 0.000 0.000 8.540
Pb 0.000 0.000 24.830
```

Calculated values
Space-group type: R-3m, No. 166
Total DFT energy (no corrections) in eV for the cell shown: -20.0
Formation energy from the elements in eV/atom: 0.022